Here is Tb5Pa after structural relaxation from the Alexandria database. Energies are from PBE-GGA.

Output
For the formation energy, the calculation gives 0.84 eV/f.u. Its symmetry is No. 65. The total magnetization is 0.003 μB per formula unit. Its total DFT energy (no corrections) is -5.301 eV/atom.

a = 7.857 Å, b = 7.857 Å, c = 4.937 Å
α = 90.00°, β = 90.00°, γ = 143.12°
Sites, in units of the cell vectors:
Tb 0.000 0.000 0.000
Tb 0.161 0.839 0.500
Tb 0.341 0.659 0.000
Tb 0.659 0.341 0.000
Tb 0.839 0.161 0.500
Pa 0.500 0.500 0.500